(1)
A relaxed structure of K2NaBi. Source: the Alexandria database, functional PBE.

Cell and atoms, written as CIF:
```
data_K2NaBi
_chemical_formula_sum 'K4 Na2 Bi2'
_cell_length_a 10.819
_cell_length_b 6.239
_cell_length_c 6.068
_cell_angle_alpha 90.00
_cell_angle_beta 90.32
_cell_angle_gamma 90.00
_symmetry_space_group_name_H-M 'C 1 2/m 1'
_symmetry_Int_Tables_number 12
_symmetry_space_group_name_Hall '-C 2y'
loop_
_atom_site_label
_atom_site_type_symbol
_atom_site_fract_x
_atom_site_fract_y
_atom_site_fract_z
_atom_site_occupancy
K1 K 0.167 0.000 0.136 1
Na1 Na 0.000 0.500 0.500 1
Bi1 Bi 0.000 0.500 0.000 1
```

***

(2)
A relaxed structure of BaTb2Lu. Source: the Alexandria database, functional PBE.

Cell and atoms, written as CIF:
```
data_BaTb2Lu
_chemical_formula_sum 'Ba1 Tb2 Lu1'
_cell_length_a 3.996
_cell_length_b 3.996
_cell_length_c 9.482
_cell_angle_alpha 90.00
_cell_angle_beta 90.00
_cell_angle_gamma 90.00
_symmetry_space_group_name_H-M 'P 4/m m m'
_symmetry_Int_Tables_number 123
_symmetry_space_group_name_Hall '-P 4 2'
loop_
_atom_site_label
_atom_site_type_symbol
_atom_site_fract_x
_atom_site_fract_y
_atom_site_fract_z
_atom_site_occupancy
Ba1 Ba 0.000 0.000 0.000 1
Tb1 Tb 0.500 0.500 0.305 1
Lu1 Lu 0.000 0.000 0.500 1
```

***

| no. | magnetization (μB per formula unit) | calculated density (g cm⁻³) | ΔE_f (kJ/mol of formula units) |
| --- | --- | --- | --- |
| 1 | 0.000 | 2.5 | -122 |
| 2 | 0.000 | 6.9 | 65 |